[1]
A relaxed BeV2OsW crystal, computed with PBE. Values from VASP.

DFT total energy = -43.4 eV/cell
Magnetization = 0.000 μB/atom
Energy relative to the elements = 0.555 eV per atom

```
&SYSTEM
  ibrav = 0, nat = 5, ntyp = 4
/
ATOMIC_SPECIES
Be 9.01 Be.upf
Os 190.23 Os.upf
W 183.84 W.upf
V 50.94 V.upf
CELL_PARAMETERS angstrom
4.1076 0.0000 0.0000
0.0000 4.0521 0.0000
0.0000 0.0000 4.1076
ATOMIC_POSITIONS crystal
Be 0.0000 0.0000 0.0000
Os 0.0000 0.5000 0.0000
W 0.5000 0.5000 0.5000
V 0.0000 0.0000 0.5000
V 0.5000 0.0000 0.0000
```

[2]
A relaxed CaS3F crystal, computed with PBE. Values from VASP.

DFT total energy = -17.6 eV/cell
Magnetization = 0.000 μB/atom
Uncorrected formation energy = -262 meV per atom
Offset from the most stable computed form = 0.000 eV/atom

```
&SYSTEM
  ibrav = 0, nat = 5, ntyp = 3
/
ATOMIC_SPECIES
Ca 40.08 Ca.upf
S 32.06 S.upf
F 19.00 F.upf
CELL_PARAMETERS angstrom
-3.7768 -1.6129 1.7895
2.0981 -0.5670 3.9171
-1.1839 4.1406 1.2335
ATOMIC_POSITIONS crystal
Ca 0.5000 0.5000 0.5000
S 0.0000 0.5000 0.0000
S 0.0000 0.0000 0.5000
S 0.5000 0.0000 0.0000
F 0.0000 0.0000 0.0000
```

[3]
A relaxed BaSrSi2Ir crystal, computed with PBE. Values from VASP.

DFT total energy = -12.9 eV/cell
Magnetization = 0.363 μB/atom
Uncorrected formation energy = 2074 meV per atom

```
&SYSTEM
  ibrav = 0, nat = 5, ntyp = 4
/
ATOMIC_SPECIES
Sr 87.62 Sr.upf
Si 28.09 Si.upf
Ir 192.22 Ir.upf
Ba 137.33 Ba.upf
CELL_PARAMETERS angstrom
5.4349 0.0000 0.0000
0.0000 6.3134 0.0000
0.0000 0.0000 5.4349
ATOMIC_POSITIONS crystal
Sr 0.0000 0.5000 0.0000
Si 0.0000 0.0000 0.5000
Si 0.5000 0.0000 0.0000
Ir 0.5000 0.5000 0.5000
Ba 0.0000 0.0000 0.0000
```

[4]
A relaxed SnHgPRu2 crystal, computed with PBE. Values from VASP.

DFT total energy = -19.2 eV/cell
Magnetization = 0.620 μB/atom
Energy relative to the elements = 1.808 eV per atom

```
&SYSTEM
  ibrav = 0, nat = 5, ntyp = 4
/
ATOMIC_SPECIES
Ru 101.07 Ru.upf
Hg 200.59 Hg.upf
P 30.97 P.upf
Sn 118.71 Sn.upf
CELL_PARAMETERS angstrom
4.9474 0.0000 0.0000
0.0000 5.2371 0.0000
0.0000 0.0000 4.9474
ATOMIC_POSITIONS crystal
Ru 0.0000 0.0000 0.5000
Ru 0.5000 0.0000 0.0000
Hg 0.0000 0.5000 0.0000
P 0.5000 0.5000 0.5000
Sn 0.0000 0.0000 0.0000
```

[5]
A relaxed Sm4Ge2As crystal, computed with PBE. Values from VASP.

DFT total energy = -79.3 eV/cell
Magnetization = 0.000 μB/atom
Energy relative to the elements = -0.985 eV per atom

```
&SYSTEM
  ibrav = 0, nat = 14, ntyp = 3
/
ATOMIC_SPECIES
Ge 72.64 Ge.upf
As 74.92 As.upf
Sm 150.36 Sm.upf
CELL_PARAMETERS angstrom
7.3520 0.0000 -2.6073
-3.6736 6.3728 -2.5967
-0.0049 0.0000 7.8007
ATOMIC_POSITIONS crystal
Ge 0.8750 0.1243 0.4993
Ge 0.5007 0.3757 0.6250
Ge 0.3750 0.8757 0.7507
Ge 0.2493 0.6243 0.1250
As 0.0000 0.0000 0.0000
As 0.7500 0.5000 0.2500
Sm 0.1244 0.8823 0.3763
Sm 0.6237 0.7481 0.5061
Sm 0.9921 0.6177 0.7439
Sm 0.2561 0.2481 0.8737
Sm 0.6256 0.7519 0.0079
Sm 0.7579 0.2519 0.8756
Sm 0.4939 0.1177 0.2421
Sm 0.1263 0.3823 0.3744
```

[6]
A relaxed Sm2ThSb3 crystal, computed with PBE. Values from VASP.

DFT total energy = -143.4 eV/cell
Magnetization = 0.000 μB/atom
Uncorrected formation energy = -1104 meV per atom

```
&SYSTEM
  ibrav = 0, nat = 24, ntyp = 3
/
ATOMIC_SPECIES
Sm 150.36 Sm.upf
Th 232.04 Th.upf
Sb 121.76 Sb.upf
CELL_PARAMETERS angstrom
-0.6701 6.3158 -0.0898
-7.6380 -0.7446 4.6127
6.8761 0.8934 11.5302
ATOMIC_POSITIONS crystal
Sm 0.2508 0.8749 0.7502
Sm 0.2508 0.3749 0.7498
Sm 0.2496 0.8765 0.4166
Sm 0.2496 0.3765 0.0834
Sm 0.7504 0.6235 0.9166
Sm 0.7504 0.1235 0.5834
Sm 0.7492 0.6251 0.2502
Sm 0.7492 0.1251 0.2498
Th 0.2496 0.8744 0.0828
Th 0.2496 0.3744 0.4172
Th 0.7504 0.6256 0.5828
Th 0.7504 0.1256 0.9172
Sb 0.2504 0.6267 0.5839
Sb 0.2504 0.1267 0.9161
Sb 0.2504 0.6244 0.9162
Sb 0.2504 0.1244 0.5838
Sb 0.2492 0.6251 0.2503
Sb 0.2492 0.1251 0.2497
Sb 0.7508 0.8749 0.7503
Sb 0.7508 0.3749 0.7497
Sb 0.7496 0.8756 0.4162
Sb 0.7496 0.3756 0.0838
Sb 0.7496 0.8733 0.0839
Sb 0.7496 0.3733 0.4161
```

[7]
A relaxed VBBr2 crystal, computed with PBE. Values from VASP.

DFT total energy = -16.1 eV/cell
Magnetization = 0.761 μB/atom
Uncorrected formation energy = 773 meV per atom
Offset from the most stable computed form = 0.388 eV/atom

```
&SYSTEM
  ibrav = 0, nat = 4, ntyp = 3
/
ATOMIC_SPECIES
B 10.81 B.upf
Br 79.90 Br.upf
V 50.94 V.upf
CELL_PARAMETERS angstrom
-6.1117 3.2367 5.7173
-2.9772 4.2209 7.3374
-4.3844 6.2897 4.6619
ATOMIC_POSITIONS crystal
B 0.0000 0.0000 0.0000
Br 0.8916 0.8916 0.8916
Br 0.1084 0.1084 0.1084
V 0.5000 0.5000 0.5000
```

[8]
A relaxed ZrRe2TcIr crystal, computed with PBE. Values from VASP.

DFT total energy = -45.7 eV/cell
Magnetization = 0.000 μB/atom
Energy relative to the elements = 1.390 eV per atom

```
&SYSTEM
  ibrav = 0, nat = 5, ntyp = 4
/
ATOMIC_SPECIES
Re 186.21 Re.upf
Ir 192.22 Ir.upf
Tc 98.00 Tc.upf
Zr 91.22 Zr.upf
CELL_PARAMETERS angstrom
4.6486 0.0000 0.0000
0.0000 4.6993 0.0000
0.0000 0.0000 4.6486
ATOMIC_POSITIONS crystal
Re 0.0000 0.0000 0.5000
Re 0.5000 0.0000 0.0000
Ir 0.0000 0.5000 0.0000
Tc 0.0000 0.0000 0.0000
Zr 0.5000 0.5000 0.5000
```

[9]
A relaxed Cu2Hg2S3 crystal, computed with PBE. Values from VASP.

DFT total energy = -42.8 eV/cell
Magnetization = 0.000 μB/atom
Uncorrected formation energy = -32 meV per atom

```
&SYSTEM
  ibrav = 0, nat = 14, ntyp = 3
/
ATOMIC_SPECIES
Cu 63.55 Cu.upf
Hg 200.59 Hg.upf
S 32.06 S.upf
CELL_PARAMETERS angstrom
-1.7780 3.1508 5.5928
0.5166 -5.5935 3.3154
5.4514 2.9137 4.0662
ATOMIC_POSITIONS crystal
Cu 0.5512 0.4138 0.6618
Cu 0.9488 0.9138 0.3382
Cu 0.0512 0.0862 0.6618
Cu 0.4488 0.5862 0.3382
Hg 0.9301 0.6547 0.8333
Hg 0.4301 0.8453 0.8333
Hg 0.5699 0.1547 0.1667
Hg 0.0699 0.3453 0.1667
S 0.5000 0.5000 0.0000
S 0.0000 0.0000 0.0000
S 0.7241 0.1022 0.6220
S 0.7759 0.6022 0.3780
S 0.2241 0.3978 0.6220
S 0.2759 0.8978 0.3780
```

[10]
A relaxed BeNiSe crystal, computed with PBE. Values from VASP.

DFT total energy = -27.9 eV/cell
Magnetization = 0.000 μB/atom
Uncorrected formation energy = -315 meV per atom

```
&SYSTEM
  ibrav = 0, nat = 6, ntyp = 3
/
ATOMIC_SPECIES
Be 9.01 Be.upf
Se 78.96 Se.upf
Ni 58.69 Ni.upf
CELL_PARAMETERS angstrom
3.5904 -0.0023 -0.0080
1.7570 7.8855 0.0486
1.8030 1.1515 3.2923
ATOMIC_POSITIONS crystal
Be 0.9175 0.3841 0.8979
Be 0.2782 0.5768 0.9883
Se 0.2088 0.2541 0.4442
Se 0.6017 0.8061 0.1169
Ni 0.6187 0.4881 0.3935
Ni 0.9283 0.6769 0.5901
```

[11]
A relaxed NaIr2OF crystal, computed with PBE. Values from VASP.

DFT total energy = -16.0 eV/cell
Magnetization = 0.930 μB/atom
Uncorrected formation energy = 1978 meV per atom

```
&SYSTEM
  ibrav = 0, nat = 5, ntyp = 4
/
ATOMIC_SPECIES
Na 22.99 Na.upf
Ir 192.22 Ir.upf
O 16.00 O.upf
F 19.00 F.upf
CELL_PARAMETERS angstrom
-1.8968 -0.6098 -4.4245
-1.1520 -3.5451 0.9825
-4.2243 1.8057 1.5622
ATOMIC_POSITIONS crystal
Na 0.0000 0.0000 0.0000
Ir 0.0000 0.0000 0.5000
Ir 0.5000 0.0000 0.0000
O 0.0000 0.5000 0.0000
F 0.5000 0.5000 0.5000
```

[12]
A relaxed Ac2PmPr2 crystal, computed with PBE. Values from VASP.

DFT total energy = -20.5 eV/cell
Magnetization = 0.000 μB/atom
Offset from the most stable computed form = 0.365 eV/atom
Energy relative to the elements = 0.409 eV per atom

```
&SYSTEM
  ibrav = 0, nat = 5, ntyp = 3
/
ATOMIC_SPECIES
Ac 227.00 Ac.upf
Pm 145.00 Pm.upf
Pr 140.91 Pr.upf
CELL_PARAMETERS angstrom
4.9968 0.0000 0.0000
0.0000 4.9968 0.0000
-2.4984 -2.4984 8.3906
ATOMIC_POSITIONS crystal
Ac 0.7500 0.2500 0.5000
Ac 0.2500 0.7500 0.5000
Pm 0.0000 0.0000 0.0000
Pr 0.4083 0.4083 0.8166
Pr 0.5917 0.5917 0.1834
```

magnetization of number 5 (Sm4Ge2As)?
0.000 μB/atom